Entry 1:
Density functional theory data (PBE-GGA) for AcTmHgBi after structural relaxation. Values from VASP.

- SG = F-43m, No. 216
- total energy (eV per atom) = -3.6598
- magnetic moment (μB/f.u.) = 0.00
- E_form (kJ/mol of atoms) = -45

Geometry as Quantum ESPRESSO input:
```
&SYSTEM
  ibrav = 0, nat = 4, ntyp = 4
/
ATOMIC_SPECIES
Hg 200.59 Hg.upf
Bi 208.98 Bi.upf
Ac 227.00 Ac.upf
Tm 168.93 Tm.upf
CELL_PARAMETERS angstrom
5.598 0.000 0.000
2.799 4.848 0.000
2.799 1.616 4.571
ATOMIC_POSITIONS crystal
Hg 0.750 0.750 0.750
Bi 0.250 0.250 0.250
Ac 0.500 0.500 0.500
Tm 0.000 0.000 0.000
```

=====

Entry 2:
Density functional theory data (PBE-GGA) for AcHo3Bi2 after structural relaxation. Values from VASP.

- SG = C2/m, No. 12
- total energy (eV per atom) = -4.7446
- magnetic moment (μB/f.u.) = 0.00
- E_form (kJ/mol of atoms) = -46

Geometry as Quantum ESPRESSO input:
```
&SYSTEM
  ibrav = 0, nat = 12, ntyp = 3
/
ATOMIC_SPECIES
Bi 208.98 Bi.upf
Ac 227.00 Ac.upf
Ho 164.93 Ho.upf
CELL_PARAMETERS angstrom
4.472 0.000 0.000
-2.236 10.783 -0.505
0.000 -5.364 8.470
ATOMIC_POSITIONS crystal
Bi 0.517 0.034 0.191
Ac 0.115 0.230 0.097
Ho 0.689 0.378 0.494
Ac 0.885 0.770 0.903
Ho 0.631 0.263 0.785
Ho 0.942 0.884 0.555
Bi 0.760 0.520 0.216
Ho 0.058 0.116 0.445
Ho 0.311 0.622 0.506
Bi 0.483 0.966 0.809
Bi 0.240 0.480 0.784
Ho 0.369 0.737 0.215
```

=====

Entry 3:
Density functional theory data (PBE-GGA) for AcHoBi after structural relaxation. Values from VASP.

- energy above the most stable polymorph in this dataset (meV/atom) = 170
- SG = I4mm, No. 107
- total energy (eV per atom) = -4.6394
- magnetic moment (μB/f.u.) = 0.99
- E_form (kJ/mol of atoms) = -43

Geometry as Quantum ESPRESSO input:
```
&SYSTEM
  ibrav = 0, nat = 3, ntyp = 3
/
ATOMIC_SPECIES
Bi 208.98 Bi.upf
Ac 227.00 Ac.upf
Ho 164.93 Ho.upf
CELL_PARAMETERS angstrom
4.156 0.000 0.000
0.000 4.156 0.000
-2.078 -2.078 6.073
ATOMIC_POSITIONS crystal
Bi 0.307 0.307 0.613
Ac 0.623 0.623 0.245
Ho 0.921 0.921 0.842
```